DFT (PBE-GGA) results for FeRe after structural relaxation.

a = 6.6756 Å, b = 7.3575 Å, c = 9.0969 Å
α = 90.00°, β = 90.00°, γ = 90.00°
Last column: nearest neighbours and their distance in Å.
Space group Fddd (No. 70, origin choice 2)
Asymmetric unit:
Fe (0.0412, 0.3750, 0.3750) [16 per cell]  1 Fe 2.22, 2 Re 2.40
Re (0.1250, 0.3016, 0.6250) [16 per cell]  6 Fe 2.40-2.63, 1 Re 2.60

## Properties
For the formation energy, the calculation gives 0.74 eV/atom.

DFT (PBE-GGA) results for FeRe2 after structural relaxation.

a = 5.1446 Å, b = 5.1446 Å, c = 8.2613 Å
α = 90.00°, β = 90.00°, γ = 120.00°
Last column: nearest neighbours and their distance in Å.
Space group P6_3/mmc (No. 194)
Asymmetric unit:
Fe (0.3333, 0.6667, 0.0833) [4 per cell]  1 Fe 2.75, 9 Re 2.92-3.05
Re (0.0000, 0.0000, 0.0000) [2 per cell]  6 Re 2.58
Re (0.1733, 0.3465, 0.7500) [6 per cell]  6 Re 2.47-2.67

## Properties
For the formation energy, the calculation gives 0.54 eV/atom.

DFT (PBE-GGA) results for FeRe after structural relaxation.

a = 2.6793 Å, b = 2.6793 Å, c = 8.3468 Å
α = 90.00°, β = 90.00°, γ = 120.00°
Last column: nearest neighbours and their distance in Å.
Space group P-3m1 (No. 164)
Asymmetric unit:
Fe (0.3333, 0.6667, 0.3859) [2 per cell]  9 Fe 2.45-2.68, 3 Re 2.56
Re (0.3333, 0.6667, 0.8582) [2 per cell]  3 Fe 2.56, 9 Re 2.68-2.83

## Properties
For the formation energy, the calculation gives 0.16 eV/atom.

DFT (PBE-GGA) results for FeRe after structural relaxation.

a = 9.5898 Å, b = 2.6537 Å, c = 6.2282 Å
α = 90.00°, β = 104.53°, γ = 90.00°
Last column: nearest neighbours and their distance in Å.
Space group Cm (No. 8)
Asymmetric unit:
Fe (0.0000, 0.0000, 0.0000) [2 per cell]  7 Re 2.49-2.73, 5 Fe 2.64-2.67
Fe (0.0606, 0.0000, 0.6051) [2 per cell]  5 Fe 2.52-2.67, 7 Re 2.59-2.62
Fe (0.1640, 0.5000, 0.3366) [2 per cell]  6 Re 2.50-2.69, 6 Fe 2.52-2.65
Re (0.2083, 0.5000, 0.9471) [2 per cell]  6 Fe 2.49-2.73, 6 Re 2.65-2.74
Re (0.3374, 0.0000, 0.6639) [2 per cell]  7 Fe 2.59-2.64, 5 Re 2.59-2.74
Re (0.3961, 0.0000, 0.2804) [2 per cell]  7 Fe 2.50-2.69, 5 Re 2.59-2.73

## Properties
For the formation energy, the calculation gives 0.05 eV/atom.

DFT (PBE-GGA) results for FeRe after structural relaxation.

a = 3.7266 Å, b = 3.7266 Å, c = 5.1013 Å
α = 90.00°, β = 90.00°, γ = 120.00°
Last column: nearest neighbours and their distance in Å.
Space group P6_3/mmc (No. 194)
Asymmetric unit:
Fe (0.3333, 0.6667, 0.2500) [2 per cell]  6 Re 2.50
Re (0.0000, 0.0000, 0.0000) [2 per cell]  6 Fe 2.50, 2 Re 2.55

## Properties
For the formation energy, the calculation gives 0.95 eV/atom.

DFT (PBE-GGA) results for FeRe after structural relaxation.

a = 6.9418 Å, b = 6.9418 Å, c = 3.9951 Å
α = 90.00°, β = 90.00°, γ = 120.00°
Last column: nearest neighbours and their distance in Å.
Space group P6_3/m (No. 176)
Asymmetric unit:
Fe (0.0364, 0.8164, 0.2500) [6 per cell]  6 Fe 2.45-2.46, 5 Re 2.53-2.74
Re (0.1012, 0.6281, 0.7500) [6 per cell]  5 Fe 2.53-2.74, 4 Re 2.57-2.59

## Properties
For the formation energy, the calculation gives 0.34 eV/atom.